A | Density functional theory data (PBE) for a relaxed structure of CdRe3W.

**D(E_F)**: 1.3693 states/eV/atom
**Space group**: Pm-3m, No. 221

a = 4.6806 Å, b = 4.6806 Å, c = 4.6806 Å
α = 90.00°, β = 90.00°, γ = 90.00°
Closest atoms and distances in Å follow each position.
Positions (direct):
Cd  0.0000  0.0000  0.0000  6 Re 2.34
Re  0.0000  0.0000  0.5000  2 Cd 2.34
Re  0.0000  0.5000  0.0000  2 Cd 2.34
Re  0.5000  0.0000  0.0000  2 Cd 2.34
W  0.5000  0.5000  0.5000  12 Re 3.31



B | Density functional theory data (PBE) for a relaxed structure of CdRe3W.

**D(E_F)**: 0.9065 states/eV/atom
**Space group**: Pm-3m, No. 221

a = 4.7724 Å, b = 4.7724 Å, c = 4.7724 Å
α = 90.00°, β = 90.00°, γ = 90.00°
Closest atoms and distances in Å follow each position.
Positions (direct):
Cd  0.0000  0.0000  0.0000  12 Re 3.37
Re  0.0000  0.5000  0.5000  2 W 2.39
Re  0.5000  0.0000  0.5000  2 W 2.39
Re  0.5000  0.5000  0.0000  2 W 2.39
W  0.5000  0.5000  0.5000  6 Re 2.39



The structure with the least stability is A.



A | Density functional theory data (PBE) for a relaxed structure of ZrCdRe3.

**D(E_F)**: 1.9136 states/eV/atom
**Space group**: Pm-3m, No. 221

a = 4.7764 Å, b = 4.7764 Å, c = 4.7764 Å
α = 90.00°, β = 90.00°, γ = 90.00°
Closest atoms and distances in Å follow each position.
Positions (direct):
Zr  0.0000  0.0000  0.0000  12 Re 3.38
Cd  0.5000  0.5000  0.5000  6 Re 2.39
Re  0.0000  0.5000  0.5000  2 Cd 2.39
Re  0.5000  0.0000  0.5000  2 Cd 2.39
Re  0.5000  0.5000  0.0000  2 Cd 2.39



B | Density functional theory data (PBE) for a relaxed structure of ZrCdRe3.

**D(E_F)**: 0.8609 states/eV/atom
**Space group**: Pm-3m, No. 221

a = 4.8358 Å, b = 4.8358 Å, c = 4.8358 Å
α = 90.00°, β = 90.00°, γ = 90.00°
Closest atoms and distances in Å follow each position.
Positions (direct):
Zr  0.0000  0.0000  0.0000  6 Re 2.42
Cd  0.5000  0.5000  0.5000  12 Re 3.42
Re  0.0000  0.0000  0.5000  2 Zr 2.42
Re  0.0000  0.5000  0.0000  2 Zr 2.42
Re  0.5000  0.0000  0.0000  2 Zr 2.42



The structure with the least stability is A.